Pm2NiF, relaxed, DFT PBE with a Hubbard U; space-group type = R-3m; density = 7.43 g/cm³; total energy = -15.7 eV/f.u.
1.0
3.274 0.000 0.000
1.637 2.836 0.000
1.637 0.945 8.852
Pm Ni F
2 1 1
Cartesian
1.637 0.945 6.384
4.912 2.836 2.468
0.000 0.000 0.000
3.274 1.890 4.426